This record from Alexandria via LeMat-Bulk describes crystalline CsK2UCl6 at its relaxed geometry. The functional is PBE.

The structure in CIF format:
```
data_CsK2UCl6
_chemical_formula_sum 'Cs3 K6 U3 Cl18'
_cell_length_a 7.9460
_cell_length_b 7.9460
_cell_length_c 21.0705
_cell_angle_alpha 90.00
_cell_angle_beta 90.00
_cell_angle_gamma 120.00
_symmetry_space_group_name_H-M 'R 3'
_symmetry_Int_Tables_number 146
_symmetry_space_group_name_Hall 'R 3'
loop_
_atom_site_label
_atom_site_fract_x
_atom_site_fract_y
_atom_site_fract_z
_atom_site_occupancy
Cs1 0.0000 0.0000 0.0000 1
K1 0.0000 0.0000 0.2792 1
K2 0.0000 0.0000 0.7944 1
U1 0.0000 0.0000 0.4826 1
Cl1 0.0224 0.3114 0.5501 1
Cl2 0.0295 0.7488 0.3978 1
```

The value obtained for the mass density is 2.86 g cm⁻³. The calculation puts the uncorrected formation energy at -18.78 eV/f.u. The spin magnetization comes out at 9.00 μB/cell.

---

This record from Alexandria via LeMat-Bulk describes crystalline Tm3Ga5Au6 at its relaxed geometry. The functional is PBE.

The structure in CIF format:
```
data_Tm3Ga5Au6
_chemical_formula_sum 'Tm6 Ga10 Au12'
_cell_length_a 4.333
_cell_length_b 13.507
_cell_length_c 9.355
_cell_angle_alpha 90.00
_cell_angle_beta 90.00
_cell_angle_gamma 90.00
_symmetry_space_group_name_H-M 'P m m n'
_symmetry_Int_Tables_number 59
loop_
_symmetry_equiv_pos_as_xyz
'x,y,z'
'-x,-y,-z'
'-x+1/2,-y+1/2,z'
'x+1/2,y+1/2,-z'
'x+1/2,-y,-z'
'-x+1/2,y,z'
'-x,y+1/2,-z'
'x,-y+1/2,z'
loop_
_atom_site_label
_atom_site_fract_x
_atom_site_fract_y
_atom_site_fract_z
_atom_site_occupancy
Tm1 0.250 0.072 0.240 1
Tm2 0.250 0.750 0.238 1
Ga1 0.250 0.082 0.856 1
Ga2 0.250 0.642 0.547 1
Ga3 0.250 0.750 0.793 1
Au1 0.250 0.050 0.589 1
Au2 0.250 0.250 0.026 1
Au3 0.250 0.250 0.512 1
Au4 0.250 0.596 0.999 1
```

The value obtained for the mass density is 12.36 g cm⁻³. The value obtained for the density of states at the Fermi level is 13.576 states/eV per cell. The spin magnetization comes out at 0.00 μB/cell. Its formation enthalpy at 0 K is -0.59 eV/atom.

---

This record from Alexandria via LeMat-Bulk describes crystalline ZnAgP2S at its relaxed geometry. The functional is PBE.

The structure in CIF format:
```
data_ZnAgP2S
_chemical_formula_sum 'Zn1 Ag1 P2 S1'
_cell_length_a 4.772
_cell_length_b 4.772
_cell_length_c 4.835
_cell_angle_alpha 90.00
_cell_angle_beta 90.00
_cell_angle_gamma 90.00
_symmetry_space_group_name_H-M 'P 4/m m m'
_symmetry_Int_Tables_number 123
_symmetry_space_group_name_Hall '-P 4 2'
loop_
_atom_site_label
_atom_site_fract_x
_atom_site_fract_y
_atom_site_fract_z
_atom_site_occupancy
Zn1 0.000 0.000 0.000 1
Ag1 0.000 0.000 0.500 1
P1 0.000 0.500 0.500 1
S1 0.500 0.500 0.000 1
```

The value obtained for the mass density is 4.03 g cm⁻³. The value obtained for the density of states at the Fermi level is 4.609 states/eV per cell. The calculation puts the uncorrected formation energy at 5.54 eV/f.u. The spin magnetization comes out at 0.00 μB/cell. The calculation puts the energy above the most stable polymorph in this dataset at 0.1993 eV/atom.

---

This record from Alexandria via LeMat-Bulk describes crystalline Sb2IOF at its relaxed geometry. The functional is PBE.

The structure in CIF format:
```
data_Sb2IOF
_chemical_formula_sum 'Sb2 I1 O1 F1'
_cell_length_a 4.795
_cell_length_b 4.795
_cell_length_c 4.659
_cell_angle_alpha 90.00
_cell_angle_beta 90.00
_cell_angle_gamma 90.00
_symmetry_space_group_name_H-M 'P 4/m m m'
_symmetry_Int_Tables_number 123
_symmetry_space_group_name_Hall '-P 4 2'
loop_
_atom_site_label
_atom_site_fract_x
_atom_site_fract_y
_atom_site_fract_z
_atom_site_occupancy
Sb1 0.000 0.500 0.000 1
I1 0.000 0.000 0.500 1
O1 0.500 0.500 0.500 1
F1 0.500 0.500 0.000 1
```

The value obtained for the mass density is 6.29 g cm⁻³. The value obtained for the density of states at the Fermi level is 3.146 states/eV per cell. The calculation puts the uncorrected formation energy at 1.28 eV/f.u. The spin magnetization comes out at 0.00 μB/cell. The calculation puts the energy above the most stable polymorph in this dataset at 0.3626 eV/atom.